# 1
An optimized crystal structure of PrB4Rh12. Source: Alexandria, functional PBE-GGA. Values from VASP.

Calculated values
density	9.9	Mg/m³
magnetic moment	0.000	μB per atom
energy of formation	-1.13	eV/f.u.
space group	Im-3 (204)

Structure (Quantum ESPRESSO input):
```
&SYSTEM
  ibrav = 0, nat = 17, ntyp = 3
/
ATOMIC_SPECIES
Pr 140.91 Pr.upf
B 10.81 B.upf
Rh 102.91 Rh.upf
CELL_PARAMETERS angstrom
-2.571 -4.154 -4.675
-1.871 -2.095 6.150
-2.306 6.270 -1.044
ATOMIC_POSITIONS crystal
Pr 0.000 0.000 0.000
B 0.000 0.500 0.000
B 0.500 0.000 0.000
B 0.500 0.500 0.500
B 0.000 0.000 0.500
Rh 0.826 0.325 0.151
Rh 0.325 0.499 0.174
Rh 0.849 0.174 0.675
Rh 0.325 0.151 0.826
Rh 0.151 0.826 0.325
Rh 0.675 0.501 0.826
Rh 0.499 0.174 0.325
Rh 0.501 0.826 0.675
Rh 0.675 0.849 0.174
Rh 0.826 0.675 0.501
Rh 0.174 0.325 0.499
Rh 0.174 0.675 0.849
```


# 2
An optimized crystal structure of PrB2Rh6. Source: Alexandria, functional PBE-GGA. Values from VASP.

Calculated values
density	8.7	Mg/m³
magnetic moment	0.164	μB per atom
energy of formation	-1.02	eV/f.u.
space group	Fd-3m (227)

Structure (Quantum ESPRESSO input):
```
&SYSTEM
  ibrav = 0, nat = 18, ntyp = 3
/
ATOMIC_SPECIES
Pr 140.91 Pr.upf
B 10.81 B.upf
Rh 102.91 Rh.upf
CELL_PARAMETERS angstrom
7.493 0.000 0.000
3.747 6.489 0.000
3.747 2.163 6.118
ATOMIC_POSITIONS crystal
Pr 0.500 0.500 0.500
Pr 0.750 0.750 0.750
B 0.125 0.125 0.125
B 0.125 0.625 0.125
B 0.125 0.125 0.625
B 0.625 0.125 0.125
Rh 0.205 0.205 0.795
Rh 0.795 0.795 0.205
Rh 0.205 0.795 0.205
Rh 0.205 0.795 0.795
Rh 0.455 0.455 0.045
Rh 0.455 0.045 0.045
Rh 0.795 0.205 0.795
Rh 0.045 0.045 0.455
Rh 0.455 0.045 0.455
Rh 0.045 0.455 0.455
Rh 0.795 0.205 0.205
Rh 0.045 0.455 0.045
```


# 3
An optimized crystal structure of PrBRh3. Source: Alexandria, functional PBE-GGA. Values from VASP.

Calculated values
density	9.8	Mg/m³
magnetic moment	0.000	μB per atom
energy of formation	-3.38	eV/f.u.
space group	Pm-3m (221)

Structure (Quantum ESPRESSO input):
```
&SYSTEM
  ibrav = 0, nat = 5, ntyp = 3
/
ATOMIC_SPECIES
Pr 140.91 Pr.upf
B 10.81 B.upf
Rh 102.91 Rh.upf
CELL_PARAMETERS angstrom
-2.080 2.312 2.930
-3.637 -0.503 -2.185
-0.837 -3.558 2.213
ATOMIC_POSITIONS crystal
Pr 0.000 0.000 0.000
B 0.500 0.500 0.500
Rh 0.000 0.500 0.500
Rh 0.500 0.500 0.000
Rh 0.500 0.000 0.500
```


# 4
An optimized crystal structure of PrB2RuRh. Source: Alexandria, functional PBE-GGA. Values from VASP.

Calculated values
density	7.9	Mg/m³
magnetic moment	0.000	μB per atom
energy of formation	-2.80	eV/f.u.
space group	I-4m2 (119)

Structure (Quantum ESPRESSO input):
```
&SYSTEM
  ibrav = 0, nat = 5, ntyp = 4
/
ATOMIC_SPECIES
Pr 140.91 Pr.upf
B 10.81 B.upf
Ru 101.07 Ru.upf
Rh 102.91 Rh.upf
CELL_PARAMETERS angstrom
3.943 0.000 0.000
0.000 3.943 0.000
-1.971 -1.971 4.981
ATOMIC_POSITIONS crystal
Pr 0.000 0.000 0.000
B 0.670 0.670 0.340
B 0.330 0.330 0.660
Ru 0.750 0.250 0.500
Rh 0.250 0.750 0.500
```


# 5
An optimized crystal structure of Pr2BSbRh6. Source: Alexandria, functional PBE-GGA. Values from VASP.

Calculated values
density	9.3	Mg/m³
magnetic moment	0.000	μB per atom
formation energy (no corrections)	-5.76	eV per formula unit
space group	Pmmn (59)

Structure (Quantum ESPRESSO input):
```
&SYSTEM
  ibrav = 0, nat = 20, ntyp = 4
/
ATOMIC_SPECIES
Pr 140.91 Pr.upf
B 10.81 B.upf
Sb 121.76 Sb.upf
Rh 102.91 Rh.upf
CELL_PARAMETERS angstrom
-1.955 4.910 -2.439
1.251 -2.795 -6.629
-8.019 -3.261 -0.138
ATOMIC_POSITIONS crystal
Pr 0.500 0.715 0.279
Pr 0.000 0.285 0.779
Pr 0.500 0.715 0.721
Pr 0.000 0.285 0.221
B 0.500 0.180 0.500
B 0.000 0.820 0.000
Sb 0.000 0.675 0.500
Sb 0.500 0.325 0.000
Rh 0.500 0.137 0.260
Rh 0.500 0.137 0.740
Rh 0.000 0.863 0.240
Rh 0.000 0.863 0.760
Rh 0.231 0.997 0.500
Rh 0.769 0.997 0.500
Rh 0.259 0.390 0.500
Rh 0.741 0.390 0.500
Rh 0.759 0.610 0.000
Rh 0.241 0.610 0.000
Rh 0.269 0.003 0.000
Rh 0.731 0.003 0.000
```


# 6
An optimized crystal structure of Pr4B3SbRh12. Source: Alexandria, functional PBE-GGA. Values from VASP.

Calculated values
density	9.4	Mg/m³
magnetic moment	0.000	μB per atom
formation energy (no corrections)	-11.07	eV per formula unit
space group	Im-3m (229)

Structure (Quantum ESPRESSO input):
```
&SYSTEM
  ibrav = 0, nat = 20, ntyp = 4
/
ATOMIC_SPECIES
Pr 140.91 Pr.upf
B 10.81 B.upf
Sb 121.76 Sb.upf
Rh 102.91 Rh.upf
CELL_PARAMETERS angstrom
-5.415 2.384 4.849
-3.226 -4.037 -5.640
5.014 -4.402 3.741
ATOMIC_POSITIONS crystal
Pr 0.500 0.500 0.500
Pr 0.000 0.000 0.500
Pr 0.500 0.000 0.000
Pr 0.000 0.500 0.000
B 0.500 0.000 0.500
B 0.500 0.500 0.000
B 0.000 0.500 0.500
Sb 0.000 0.000 0.000
Rh 0.250 0.500 0.750
Rh 0.722 0.000 0.722
Rh 0.278 0.000 0.278
Rh 0.750 0.500 0.250
Rh 0.722 0.722 0.000
Rh 0.278 0.278 0.000
Rh 0.750 0.250 0.500
Rh 0.250 0.750 0.500
Rh 0.500 0.250 0.750
Rh 0.000 0.722 0.722
Rh 0.500 0.750 0.250
Rh 0.000 0.278 0.278
```